Rb2TlPt: optimized geometry, PBE.

Cell lengths 5.8323, 5.8323, 5.8323 Å; angles 60.00, 60.00, 60.00 degrees
Fractional positions:
Rb1 0.2500 0.2500 0.2500
Rb2 0.7500 0.7500 0.7500
Tl1 0.0000 0.0000 0.0000
Pt1 0.5000 0.5000 0.5000

Summary:
polymorph energy (0 for the lowest one)	364.3	meV/atom
SG	Fm-3m (225)

Tb3BiC: optimized geometry, PBE.

Cell lengths 4.9525, 4.9525, 4.9525 Å; angles 90.00, 90.00, 90.00 degrees
Fractional positions:
Tb1 0.0000 0.0000 0.5000
Tb2 0.0000 0.5000 0.0000
Tb3 0.5000 0.0000 0.0000
Bi1 0.5000 0.5000 0.5000
C1 0.0000 0.0000 0.0000

Summary:
polymorph energy (0 for the lowest one)	0.0	meV/atom
SG	Pm-3m (221)

NdSnRu: optimized geometry, PBE.

Cell lengths 4.6653, 4.6653, 3.7452 Å; angles 90.00, 90.00, 120.00 degrees
Fractional positions:
Nd1 0.0000 0.0000 0.0000
Sn1 0.3333 0.6667 0.5000
Ru1 0.6667 0.3333 0.5000

Summary:
SG	P-6m2 (187)

no.,total energy (Ha/atom),ΔH_f (0 K) (meV/atom)
1,-0.086,246.2
2,-0.218,-527.4
3,-0.233,-319.4